[1]
# PBE ZrP2RuN, relaxed
# **Electronic total energy**: -7.202 eV/atom
# **Total magnetization**: 0.000 μB/atom
data_ZrP2RuN
_space_group_name_H-M_alt 'P 4/m m m'
_space_group_IT_number 123
_space_group_name_Hall '-P 4 2'
_cell_length_a 4.0856
_cell_length_b 4.0856
_cell_length_c 4.2049
_cell_angle_alpha 90.00
_cell_angle_beta 90.00
_cell_angle_gamma 90.00
loop_
_atom_site_label
_atom_site_type_symbol
_atom_site_fract_x
_atom_site_fract_y
_atom_site_fract_z
_atom_site_occupancy
Zr1 Zr 0.0000 0.0000 0.0000 1
P1 P 0.0000 0.5000 0.5000 1
Ru1 Ru 0.5000 0.5000 0.0000 1
N1 N 0.0000 0.0000 0.5000 1

[2]
# PBE PSN3, relaxed
# **Electronic total energy**: -5.413 eV/atom
# **Total magnetization**: 0.000 μB/atom
data_PSN3
_space_group_name_H-M_alt 'P m -3 m'
_space_group_IT_number 221
_space_group_name_Hall '-P 4 2 3'
_cell_length_a 3.4915
_cell_length_b 3.4915
_cell_length_c 3.4915
_cell_angle_alpha 90.00
_cell_angle_beta 90.00
_cell_angle_gamma 90.00
loop_
_atom_site_label
_atom_site_type_symbol
_atom_site_fract_x
_atom_site_fract_y
_atom_site_fract_z
_atom_site_occupancy
P1 P 0.0000 0.0000 0.0000 1
S1 S 0.5000 0.5000 0.5000 1
N1 N 0.0000 0.0000 0.5000 1

[3]
# PBE PSN3, relaxed
# **Electronic total energy**: -4.866 eV/atom
# **Total magnetization**: 0.000 μB/atom
data_PSN3
_space_group_name_H-M_alt 'P m -3 m'
_space_group_IT_number 221
_space_group_name_Hall '-P 4 2 3'
_cell_length_a 3.4841
_cell_length_b 3.4841
_cell_length_c 3.4841
_cell_angle_alpha 90.00
_cell_angle_beta 90.00
_cell_angle_gamma 90.00
loop_
_atom_site_label
_atom_site_type_symbol
_atom_site_fract_x
_atom_site_fract_y
_atom_site_fract_z
_atom_site_occupancy
P1 P 0.0000 0.0000 0.0000 1
S1 S 0.5000 0.5000 0.5000 1
N1 N 0.0000 0.5000 0.5000 1

[4]
# PBE PS2N2, relaxed
# **Electronic total energy**: -5.224 eV/atom
# **Total magnetization**: 0.051 μB/atom
# **Offset from the most stable computed form**: 0.000 eV/atom
data_PS2N2
_space_group_name_H-M_alt 'P 4/m m m'
_space_group_IT_number 123
_space_group_name_Hall '-P 4 2'
_cell_length_a 3.3019
_cell_length_b 3.3019
_cell_length_c 6.9021
_cell_angle_alpha 90.00
_cell_angle_beta 90.00
_cell_angle_gamma 90.00
loop_
_atom_site_label
_atom_site_type_symbol
_atom_site_fract_x
_atom_site_fract_y
_atom_site_fract_z
_atom_site_occupancy
P1 P 0.0000 0.0000 0.0000 1
S1 S 0.0000 0.0000 0.5000 1
S2 S 0.5000 0.5000 0.5000 1
N1 N 0.0000 0.5000 0.0000 1

[5]
# PBE PS2N2, relaxed
# **Electronic total energy**: -4.131 eV/atom
# **Total magnetization**: 0.041 μB/atom
# **Offset from the most stable computed form**: 1.093 eV/atom
data_PS2N2
_space_group_name_H-M_alt 'P 4/m m m'
_space_group_IT_number 123
_space_group_name_Hall '-P 4 2'
_cell_length_a 3.9311
_cell_length_b 3.9311
_cell_length_c 3.8473
_cell_angle_alpha 90.00
_cell_angle_beta 90.00
_cell_angle_gamma 90.00
loop_
_atom_site_label
_atom_site_type_symbol
_atom_site_fract_x
_atom_site_fract_y
_atom_site_fract_z
_atom_site_occupancy
P1 P 0.0000 0.0000 0.0000 1
S1 S 0.0000 0.5000 0.5000 1
N1 N 0.5000 0.5000 0.0000 1
N2 N 0.5000 0.5000 0.5000 1

[6]
# PBE PS2N2, relaxed
# **Electronic total energy**: -4.334 eV/atom
# **Total magnetization**: 0.149 μB/atom
# **Offset from the most stable computed form**: 0.889 eV/atom
data_PS2N2
_space_group_name_H-M_alt 'P 4/m m m'
_space_group_IT_number 123
_space_group_name_Hall '-P 4 2'
_cell_length_a 4.5746
_cell_length_b 4.5746
_cell_length_c 3.1916
_cell_angle_alpha 90.00
_cell_angle_beta 90.00
_cell_angle_gamma 90.00
loop_
_atom_site_label
_atom_site_type_symbol
_atom_site_fract_x
_atom_site_fract_y
_atom_site_fract_z
_atom_site_occupancy
P1 P 0.0000 0.0000 0.0000 1
S1 S 0.0000 0.5000 0.0000 1
N1 N 0.0000 0.0000 0.5000 1
N2 N 0.5000 0.5000 0.5000 1

[7]
# PBE PS2N2, relaxed
# **Electronic total energy**: -4.593 eV/atom
# **Total magnetization**: 0.056 μB/atom
# **Offset from the most stable computed form**: 0.631 eV/atom
data_PS2N2
_space_group_name_H-M_alt 'P 4/m m m'
_space_group_IT_number 123
_space_group_name_Hall '-P 4 2'
_cell_length_a 3.3532
_cell_length_b 3.3532
_cell_length_c 7.4330
_cell_angle_alpha 90.00
_cell_angle_beta 90.00
_cell_angle_gamma 90.00
loop_
_atom_site_label
_atom_site_type_symbol
_atom_site_fract_x
_atom_site_fract_y
_atom_site_fract_z
_atom_site_occupancy
P1 P 0.0000 0.0000 0.0000 1
S1 S 0.5000 0.5000 0.0000 1
S2 S 0.5000 0.5000 0.5000 1
N1 N 0.0000 0.5000 0.5000 1

[8]
# PBE P3SN, relaxed
# **Electronic total energy**: -3.672 eV/atom
# **Total magnetization**: 0.381 μB/atom
# **Offset from the most stable computed form**: 0.851 eV/atom
data_P3SN
_space_group_name_H-M_alt 'P m -3 m'
_space_group_IT_number 221
_space_group_name_Hall '-P 4 2 3'
_cell_length_a 4.5214
_cell_length_b 4.5214
_cell_length_c 4.5214
_cell_angle_alpha 90.00
_cell_angle_beta 90.00
_cell_angle_gamma 90.00
loop_
_atom_site_label
_atom_site_type_symbol
_atom_site_fract_x
_atom_site_fract_y
_atom_site_fract_z
_atom_site_occupancy
P1 P 0.0000 0.0000 0.5000 1
S1 S 0.0000 0.0000 0.0000 1
N1 N 0.5000 0.5000 0.5000 1